## BaTe2Pt (PBE-GGA)

Data for a relaxed structure of BaTe2Pt.

a b c (Å): 6.195 6.195 9.172
angles (deg): 70.26 70.26 90.00
Atoms (fractional coordinates):
Te (0.743, 0.125, 0.250)
Te (0.007, 0.625, 0.250)
Te (0.375, 0.257, 0.750)
Te (0.875, 0.993, 0.750)
Ba (0.500, 0.500, 0.000)
Ba (0.250, 0.750, 0.500)
Pt (0.000, 0.000, 0.000)
Pt (0.750, 0.250, 0.500)

Summary:
The formation energy (no corrections) comes out at -0.65 eV per atom. The relative energy among the computed polymorphs comes out at 1.09 eV/f.u.